# 1
A plane-wave DFT calculation with PBE-GGA was carried out for a relaxed Tl2CdBi crystal.

The structure belongs to space group Cm (No. 8); the cell edges are 9.370, 5.663 and 5.665 Å and the angles 90.00°, 126.86° and 90.00°. The asymmetric unit holds Tl at (0.000, 0.000, 0.000), Tl at (0.250, 0.000, 0.749), Cd at (0.250, 0.500, 0.250) and Bi at (0.000, 0.500, 0.498).

The calculation puts the energy above the most stable polymorph in this dataset at 0 meV/atom. For the formation energy from the elements, the calculation gives 0.014 eV/atom. The total DFT energy (no corrections) comes out at -2.3685 eV per atom.

# 2
A plane-wave DFT calculation with PBE-GGA was carried out for a relaxed CrRe2Hg crystal.

The structure belongs to space group Pmm2 (No. 25); the cell edges are 2.856, 3.892 and 5.726 Å and the angles 90.00°, 90.00° and 90.00°. The asymmetric unit holds Cr at (0.000, 0.000, 0.000), Re at (0.000, 0.000, 0.592), Re at (0.500, 0.500, 0.796) and Hg at (0.500, 0.500, 0.286).

For the formation energy from the elements, the calculation gives 0.473 eV/atom. The total DFT energy (no corrections) comes out at -8.2325 eV per atom.

# 3
A plane-wave DFT calculation with PBE-GGA was carried out for a relaxed Y6AgBi2 crystal.

The structure belongs to space group P2_1/c (No. 14); the cell edges are 6.517, 8.151 and 12.126 Å and the angles 90.00°, 122.15° and 90.00°. The asymmetric unit holds Y at (0.085, 0.035, 0.235), Y at (0.166, 0.704, 0.047), Y at (0.409, 0.162, 0.043), Ag at (0.500, 0.000, 0.500) and Bi at (0.344, 0.117, 0.741).

For the formation energy from the elements, the calculation gives -0.396 eV/atom. The total DFT energy (no corrections) comes out at -5.8849 eV per atom.

# 4
A plane-wave DFT calculation with PBE-GGA was carried out for a relaxed Ta2SiTe crystal.

The structure belongs to space group Fm-3m (No. 225); the cell edges are 6.593, 6.593 and 6.593 Å and the angles 90.00°, 90.00° and 90.00°. The asymmetric unit holds Ta at (0.250, 0.250, 0.250), Si at (0.000, 0.000, 0.000) and Te at (0.000, 0.000, 0.500).

The calculation puts the energy above the most stable polymorph in this dataset at 266 meV/atom. For the raw formation energy, the calculation gives 0.09 eV per atom. The total DFT energy (no corrections) comes out at -7.9762 eV per atom.

# 5
A plane-wave DFT calculation with PBE-GGA was carried out for a relaxed Ac2ReSb crystal.

The structure belongs to space group R-3m (No. 166, hexagonal axes); the cell edges are 3.5198, 3.5198 and 33.5761 Å and the angles 90.00°, 90.00° and 120.00°. The asymmetric unit holds Ac at (0.0000, 0.0000, 0.0817), Re at (0.0000, 0.0000, 0.0000) and Sb at (0.0000, 0.0000, 0.5000).

The calculation puts the energy above the most stable polymorph in this dataset at 788 meV/atom. For the raw formation energy, the calculation gives 0.91 eV per atom. The total DFT energy (no corrections) comes out at -5.2917 eV per atom.

# 6
A plane-wave DFT calculation with PBE-GGA was carried out for a relaxed Sr2LiGeAu6 crystal.

The structure belongs to space group P-1 (No. 2); the cell edges are 6.845, 6.887 and 6.920 Å and the angles 88.70°, 60.37° and 61.41°. The asymmetric unit holds Sr at (0.066, 0.157, 0.215), Li at (0.500, 0.000, 0.500), Ge at (0.500, 0.500, 0.000), Au at (0.006, 0.309, 0.752), Au at (0.389, 0.352, 0.357) and Au at (0.411, 0.329, 0.754).

For the formation energy from the elements, the calculation gives -0.464 eV/atom. The total DFT energy (no corrections) comes out at -3.4197 eV per atom.

# 7
A plane-wave DFT calculation with PBE-GGA was carried out for a relaxed KNiW crystal.

The structure belongs to space group F-43m (No. 216); the cell edges are 6.425, 6.425 and 6.425 Å and the angles 90.00°, 90.00° and 90.00°. The asymmetric unit holds K at (0.000, 0.000, 0.000), Ni at (0.250, 0.250, 0.750) and W at (0.000, 0.000, 0.500).

The calculation puts the energy above the most stable polymorph in this dataset at 1236 meV/atom. For the formation energy from the elements, the calculation gives 2.104 eV/atom. The total DFT energy (no corrections) comes out at -4.5067 eV per atom.

# 8
A plane-wave DFT calculation with PBE-GGA was carried out for a relaxed Pr3Sm4YS8 crystal.

The structure belongs to space group R-3m (No. 166, hexagonal axes); the cell edges are 8.0748, 8.0748 and 19.7681 Å and the angles 90.00°, 90.00° and 120.00°. The asymmetric unit holds Pr at (0.0000, 0.5000, 0.0000), Sm at (0.0000, 0.0000, 0.5000), Sm at (0.0000, 0.5000, 0.5000), Y at (0.0000, 0.0000, 0.0000), S at (0.0000, 0.0000, 0.2469) and S at (0.0084, 0.5042, 0.7509).

For the raw formation energy, the calculation gives -2.01 eV per atom. The total DFT energy (no corrections) comes out at -6.5548 eV per atom.